Record 1
# Pa2OsBr2

A relaxed Pa2OsBr2 crystal (PBE-GGA, the Alexandria database).

The crystal system is monoclinic. As for the uncorrected formation energy: -0.8748 eV/atom.

```
5
Lattice="3.478 -2.005 0.000 3.478 2.005 0.000 -2.556 0.000 11.170" Properties=species:S:1:pos:R:3 pbc="T T T"
Pa 1.158 0.000 1.504
Pa 3.241 0.000 9.666
Os 3.478 0.000 0.000
Br -1.397 0.000 7.624
Br 5.796 0.000 3.546
```

Record 2
# TlSi2C

A relaxed TlSi2C crystal (PBE-GGA, the Alexandria database).

The crystal system is tetragonal. As for the uncorrected formation energy: 0.6277 eV/atom. The distance to the lowest polymorph of the same formula is 0.0 meV per atom.

```
8
Lattice="-2.673 2.673 4.938 2.673 -2.673 4.938 2.673 2.673 -4.938" Properties=species:S:1:pos:R:3 pbc="T T T"
Tl 0.000 0.000 0.000
Tl 0.000 2.673 2.469
Si 1.337 -0.740 3.703
Si 1.933 1.337 1.234
Si 1.337 3.413 -1.234
Si 0.740 1.337 6.172
C 2.673 0.000 2.469
C 0.000 0.000 4.938
```

Record 3
# La6TbAg2

A relaxed La6TbAg2 crystal (PBE-GGA, the Alexandria database).

The crystal system is monoclinic. For the energy of formation, the calculation gives -0.108 eV per atom.

```
9
Lattice="6.510 -1.906 0.000 6.510 1.906 0.000 -3.726 0.000 11.679" Properties=species:S:1:pos:R:3 pbc="T T T"
La -0.870 0.000 3.869
La 2.528 0.000 4.745
La 3.651 0.000 1.437
La 5.644 0.000 10.243
La 6.767 0.000 6.934
La 10.165 0.000 7.811
Tb 0.000 0.000 0.000
Ag 1.671 0.000 9.534
Ag 7.624 0.000 2.145
```

Record 4
# Tl2GaBi

A relaxed Tl2GaBi crystal (PBE-GGA, the Alexandria database).

The crystal system is tetragonal. For the energy of formation, the calculation gives 0.286 eV per atom. The distance to the lowest polymorph of the same formula is 278.9 meV per atom.

```
8
Lattice="-3.506 3.506 6.133 3.506 -3.506 6.133 3.506 3.506 -6.133" Properties=species:S:1:pos:R:3 pbc="T T T"
Tl 5.259 1.553 -1.533
Tl 1.553 1.753 1.533
Tl -1.753 1.953 4.599
Tl 1.953 1.753 7.666
Ga 0.000 0.000 0.000
Ga 0.000 3.506 3.066
Bi 3.506 0.000 3.066
Bi 0.000 0.000 6.133
```

Record 5
# Mg2PH6

A relaxed Mg2PH6 crystal (PBE-GGA, the Alexandria database).

The crystal system is cubic. As for the total energy: -25.950 eV per cell.

```
9
Lattice="0.000 3.532 3.532 3.532 0.000 3.532 3.532 3.532 0.000" Properties=species:S:1:pos:R:3 pbc="T T T"
Mg 1.766 1.766 1.766
Mg 5.298 5.298 5.298
P 0.000 0.000 0.000
H 3.532 3.532 1.581
H 3.532 1.581 3.532
H 5.483 3.532 3.532
H 1.581 3.532 3.532
H 3.532 5.483 3.532
H 3.532 3.532 5.483
```

Record 6
# MgFeSb2I

A relaxed MgFeSb2I crystal (PBE-GGA, the Alexandria database).

The crystal system is tetragonal. As for the uncorrected formation energy: 0.9447 eV/atom. The distance to the lowest polymorph of the same formula is 609.5 meV per atom.

```
5
Lattice="5.404 0.000 0.000 0.000 5.404 0.000 0.000 0.000 5.565" Properties=species:S:1:pos:R:3 pbc="T T T"
Mg 0.000 0.000 0.000
Fe 2.702 2.702 2.782
Sb 0.000 2.702 0.000
Sb 2.702 0.000 0.000
I 0.000 0.000 2.782
```

Record 7
# Cd2RePb

A relaxed Cd2RePb crystal (PBE-GGA, the Alexandria database).

The crystal system is orthorhombic. For the energy of formation, the calculation gives 0.703 eV per atom.

```
4
Lattice="2.892 0.000 0.000 0.000 4.312 0.000 0.000 0.000 7.032" Properties=species:S:1:pos:R:3 pbc="T T T"
Cd 0.000 0.000 1.424
Cd 0.000 0.000 5.608
Re 1.446 2.156 0.000
Pb 1.446 2.156 3.516
```

Record 8
# SrMg2Hg9

A relaxed SrMg2Hg9 crystal (PBE-GGA, the Alexandria database).

The crystal system is tetragonal. For the energy of formation, the calculation gives -0.182 eV per atom.

```
24
Lattice="-6.186 6.186 3.929 6.186 -6.186 3.929 6.186 6.186 -3.929" Properties=species:S:1:pos:R:3 pbc="T T T"
Sr 6.186 3.093 0.982
Sr 0.000 3.093 2.946
Mg 0.000 0.000 0.000
Mg 3.093 3.093 -1.964
Mg 3.093 -3.093 1.964
Mg 0.000 6.186 0.000
Hg 4.684 -0.728 1.305
Hg 7.689 -0.728 1.305
Hg 6.186 -3.093 2.946
Hg 2.365 1.590 0.659
Hg 10.008 1.590 0.659
Hg 4.684 5.458 -1.305
Hg 1.503 -0.728 2.624
Hg 2.365 4.596 0.659
Hg 3.821 -1.590 4.588
Hg 2.365 7.777 -0.659
Hg 3.821 1.590 3.269
Hg 4.684 6.914 1.305
Hg 1.503 0.728 5.234
Hg -3.821 4.596 3.269
Hg 3.821 4.596 3.269
Hg 0.000 9.280 0.982
Hg -1.503 6.914 2.624
Hg 1.503 6.914 2.624
```

Record 9
# Na2CaAsRh

A relaxed Na2CaAsRh crystal (PBE-GGA, the Alexandria database).

The crystal system is tetragonal. For the energy of formation, the calculation gives -0.055 eV per atom.

```
5
Lattice="5.367 0.000 0.000 0.000 5.367 0.000 0.000 0.000 4.658" Properties=species:S:1:pos:R:3 pbc="T T T"
Na 0.000 2.683 0.000
Na 2.683 0.000 0.000
Ca 0.000 0.000 2.329
As 2.683 2.683 0.000
Rh 2.683 2.683 2.329
```

Record 10
# Cs2SiSb

A relaxed Cs2SiSb crystal (PBE-GGA, the Alexandria database).

The crystal system is cubic. As for the uncorrected formation energy: 0.4750 eV/atom. The distance to the lowest polymorph of the same formula is 557.8 meV per atom.

```
4
Lattice="0.000 4.471 4.471 4.471 0.000 4.471 4.471 4.471 0.000" Properties=species:S:1:pos:R:3 pbc="T T T"
Cs 2.236 2.236 2.236
Cs 6.707 6.707 6.707
Si 0.000 0.000 0.000
Sb 4.471 4.471 4.471
```

Record 11
# K2TaRe

A relaxed K2TaRe crystal (PBE-GGA, the Alexandria database).

The crystal system is tetragonal. For the energy of formation, the calculation gives 1.500 eV per atom. The distance to the lowest polymorph of the same formula is 787.4 meV per atom.

```
4
Lattice="2.732 0.000 0.000 0.000 2.732 0.000 0.000 0.000 12.477" Properties=species:S:1:pos:R:3 pbc="T T T"
K 0.000 0.000 2.874
K 0.000 0.000 9.603
Ta 1.366 1.366 6.238
Re 1.366 1.366 0.000
```

Record 12
# Sc2SiNi6B

A relaxed Sc2SiNi6B crystal (PBE-GGA, the Alexandria database).

The crystal system is monoclinic. As for the uncorrected formation energy: -0.4902 eV/atom.

```
10
Lattice="4.466 -2.573 0.000 4.466 2.573 0.000 -2.990 0.000 5.748" Properties=species:S:1:pos:R:3 pbc="T T T"
Sc 1.485 0.000 0.827
Sc 4.457 0.000 4.920
Si 4.466 0.000 0.000
Ni 0.064 0.000 3.951
Ni 2.190 1.227 3.955
Ni 3.753 1.227 1.793
Ni 2.190 -1.227 3.955
Ni 3.753 -1.227 1.793
Ni 5.878 0.000 1.797
B -1.495 0.000 2.874
```

Table of total magnetization (μB per cell), in record order: 0.00 0.00 0.00 0.00 0.00 3.21 0.00 0.00 0.63 1.00 0.00 0.00